LaCr2Si | PBE-GGA | optimized geometry

Computed properties:
space-group type = P4/mmm
N(E_F) = 3.59 states/eV/cell
energy relative to the elements, uncorrected = 0.125 eV per atom
calculated total energy = -7.27 eV per atom
size of the total moment = 0.00 Bohr magnetons per cell

The structure in CIF format:
```
data_LaCr2Si
_chemical_formula_sum 'La1 Cr2 Si1'
_cell_length_a 3.2730
_cell_length_b 3.2712
_cell_length_c 6.4984
_cell_angle_alpha 90.00
_cell_angle_beta 90.00
_cell_angle_gamma 90.00
_symmetry_space_group_name_H-M 'P 1'
_symmetry_Int_Tables_number 1
loop_
_symmetry_equiv_pos_as_xyz
'x,y,z'
loop_
_atom_site_label
_atom_site_fract_x
_atom_site_fract_y
_atom_site_fract_z
Cr1 0.0000 0.0000 0.9061
Cr2 0.0000 0.0000 0.5939
La1 0.5000 0.5000 0.2500
Si1 0.5000 0.5000 0.7500
```



LaCr2Si | PBE-GGA | optimized geometry

Computed properties:
space-group type = Cmmm
N(E_F) = 4.82 states/eV/cell
energy relative to the elements, uncorrected = 0.552 eV per atom
calculated total energy = -6.85 eV per atom
size of the total moment = 0.00 Bohr magnetons per cell

The structure in CIF format:
```
data_LaCr2Si
_chemical_formula_sum 'La1 Cr2 Si1'
_cell_length_a 2.9040
_cell_length_b 2.9040
_cell_length_c 8.1430
_cell_angle_alpha 90.00
_cell_angle_beta 90.00
_cell_angle_gamma 107.48
_symmetry_space_group_name_H-M 'P 1'
_symmetry_Int_Tables_number 1
loop_
_symmetry_equiv_pos_as_xyz
'x,y,z'
loop_
_atom_site_label
_atom_site_fract_x
_atom_site_fract_y
_atom_site_fract_z
Cr1 0.0000 0.0000 0.9455
Cr2 0.0000 0.0000 0.5545
La1 0.5000 0.5000 0.2500
Si1 0.5000 0.5000 0.7500
```



LaCrSi2 | PBE-GGA | optimized geometry

Computed properties:
space-group type = Immm
N(E_F) = 2.56 states/eV/cell
energy relative to the elements, uncorrected = -0.144 eV per atom
calculated total energy = -6.49 eV per atom
size of the total moment = 3.30 Bohr magnetons per cell

The structure in CIF format:
```
data_LaCrSi2
_chemical_formula_sum 'La1 Cr1 Si2'
_cell_length_a 4.9704
_cell_length_b 4.9704
_cell_length_c 4.9704
_cell_angle_alpha 127.39
_cell_angle_beta 107.10
_cell_angle_gamma 95.67
_symmetry_space_group_name_H-M 'P 1'
_symmetry_Int_Tables_number 1
loop_
_symmetry_equiv_pos_as_xyz
'x,y,z'
loop_
_atom_site_label
_atom_site_fract_x
_atom_site_fract_y
_atom_site_fract_z
Cr1 0.7500 0.2500 0.5000
La1 0.2500 0.7500 0.5000
Si1 0.9306 0.9306 0.0000
Si2 0.5694 0.5694 0.0000
```



LaCrSi2 | PBE-GGA | optimized geometry

Computed properties:
space-group type = Pm
N(E_F) = 2.56 states/eV/cell
energy relative to the elements, uncorrected = -0.183 eV per atom
calculated total energy = -6.53 eV per atom
size of the total moment = 3.10 Bohr magnetons per cell

The structure in CIF format:
```
data_LaCrSi2
_chemical_formula_sum 'La1 Cr1 Si2'
_cell_length_a 3.7550
_cell_length_b 3.7379
_cell_length_c 5.9142
_cell_angle_alpha 81.04
_cell_angle_beta 90.00
_cell_angle_gamma 90.00
_symmetry_space_group_name_H-M 'P 1'
_symmetry_Int_Tables_number 1
loop_
_symmetry_equiv_pos_as_xyz
'x,y,z'
loop_
_atom_site_label
_atom_site_fract_x
_atom_site_fract_y
_atom_site_fract_z
Cr1 0.0000 0.5731 0.3351
La1 0.5000 0.7013 0.8088
Si1 0.0000 0.1410 0.0494
Si2 0.5000 0.0846 0.3068
```